1.
DFT (PBE-GGA) results for a relaxed structure of KHgP.

CIF file:
```
data_KHgP
_chemical_formula_sum 'K1 Hg1 P1'
_cell_length_a 7.694
_cell_length_b 7.693
_cell_length_c 3.179
_cell_angle_alpha 78.10
_cell_angle_beta 78.06
_cell_angle_gamma 23.84
_symmetry_space_group_name_H-M 'P 1'
_symmetry_Int_Tables_number 1
loop_
_symmetry_equiv_pos_as_xyz
'x,y,z'
loop_
_atom_site_label
_atom_site_type_symbol
_atom_site_fract_x
_atom_site_fract_y
_atom_site_fract_z
_atom_site_occupancy
Hg1 Hg 0.010 0.010 0.990 1
K1 K 0.326 0.326 0.674 1
P1 P 0.663 0.663 0.337 1
```

Computed properties:
space-group type: No. 42
E_form: 64 kJ/mol of formula units
uncorrected energy: -2.05 eV per atom
magnetic moment: 0.00 μB per formula unit



2.
DFT (PBE-GGA) results for a relaxed structure of Tm6FeTe4.

CIF file:
```
data_Tm6FeTe4
_chemical_formula_sum 'Tm12 Fe2 Te8'
_cell_length_a 8.474
_cell_length_b 8.474
_cell_length_c 8.474
_cell_angle_alpha 91.22
_cell_angle_beta 91.22
_cell_angle_gamma 88.78
_symmetry_space_group_name_H-M 'P 1'
_symmetry_Int_Tables_number 1
loop_
_symmetry_equiv_pos_as_xyz
'x,y,z'
loop_
_atom_site_label
_atom_site_type_symbol
_atom_site_fract_x
_atom_site_fract_y
_atom_site_fract_z
_atom_site_occupancy
Tm1 Tm 0.718 0.062 0.070 1
Tm2 Tm 0.070 0.282 0.062 1
Tm3 Tm 0.570 0.438 0.218 1
Tm4 Tm 0.938 0.070 0.718 1
Tm5 Tm 0.562 0.218 0.570 1
Tm6 Tm 0.218 0.430 0.438 1
Tm7 Tm 0.782 0.570 0.562 1
Tm8 Tm 0.438 0.782 0.430 1
Tm9 Tm 0.062 0.930 0.282 1
Tm10 Tm 0.430 0.562 0.782 1
Tm11 Tm 0.930 0.718 0.938 1
Tm12 Tm 0.282 0.938 0.930 1
Fe1 Fe 0.500 0.500 0.500 1
Fe2 Fe 0.000 0.000 0.000 1
Te1 Te 0.384 0.116 0.250 1
Te2 Te 0.884 0.250 0.384 1
Te3 Te 0.250 0.616 0.116 1
Te4 Te 0.250 0.250 0.750 1
Te5 Te 0.750 0.750 0.250 1
Te6 Te 0.750 0.384 0.884 1
Te7 Te 0.116 0.750 0.616 1
Te8 Te 0.616 0.884 0.750 1
```

Computed properties:
space-group type: No. 167
formation energy from raw total energies: -18.179 kcal/mol of atoms
uncorrected energy: -5.14 eV per atom
magnetic moment: 0.00 μB per formula unit



3.
DFT (PBE-GGA) results for a relaxed structure of V2Ge2Ru3.

CIF file:
```
data_V2Ge2Ru3
_chemical_formula_sum 'V2 Ge2 Ru3'
_cell_length_a 4.203
_cell_length_b 4.202
_cell_length_c 7.268
_cell_angle_alpha 89.99
_cell_angle_beta 106.89
_cell_angle_gamma 119.97
_symmetry_space_group_name_H-M 'P 1'
_symmetry_Int_Tables_number 1
loop_
_symmetry_equiv_pos_as_xyz
'x,y,z'
loop_
_atom_site_label
_atom_site_type_symbol
_atom_site_fract_x
_atom_site_fract_y
_atom_site_fract_z
_atom_site_occupancy
V1 V 0.256 0.128 0.384 1
V2 V 0.744 0.872 0.616 1
Ge1 Ge 0.780 0.390 0.169 1
Ge2 Ge 0.220 0.610 0.831 1
Ru1 Ru 0.000 0.000 0.000 1
Ru2 Ru 0.491 0.246 0.737 1
Ru3 Ru 0.509 0.754 0.263 1
```

Computed properties:
space-group type: No. 12
E_form: -131 kJ/mol of formula units
uncorrected energy: -8.09 eV per atom
magnetic moment: 0.00 μB per formula unit